(1)
VASP calculation (GGA-PBE) on RbAsIO2 after structural relaxation.

Cell lengths 4.377, 4.377, 5.767 Å; angles 90.00, 90.00, 90.00 degrees
Element x y z (fractional)
As1 0.000 0.000 0.000
O1 0.000 0.500 0.000
O2 0.500 0.000 0.000
Rb1 0.500 0.500 0.500
I1 0.000 0.000 0.500

Uncorrected energy (eV/atom): -3.79
Density of states at the Fermi level (states/eV/f.u.): 2.4
Offset from the most stable computed form (kJ per mole of atoms): 69.5
Formation energy without anion corrections (eV/atom): -0.373
Calculated density (g/cm3): 4.8

(2)
VASP calculation (GGA-PBE) on RbAsI2O after structural relaxation.

Cell lengths 6.494, 6.494, 4.192 Å; angles 90.00, 90.00, 90.00 degrees
Element x y z (fractional)
O1 0.000 0.000 0.500
Rb1 0.000 0.000 0.000
I1 0.500 0.000 0.000
I2 0.000 0.500 0.000
As1 0.500 0.500 0.500

Uncorrected energy (eV/atom): -1.99
Density of states at the Fermi level (states/eV/f.u.): 7.5
Offset from the most stable computed form (kJ per mole of atoms): 143.6
Formation energy without anion corrections (eV/atom): 0.748
Calculated density (g/cm3): 4.0

(3)
VASP calculation (GGA-PBE) on RbAsI2O8 after structural relaxation.

Cell lengths 5.499, 6.661, 7.832 Å; angles 53.58, 69.45, 65.62 degrees
Element x y z (fractional)
I1 0.290 0.258 0.162
I2 0.710 0.742 0.838
O1 0.857 0.976 0.802
O2 0.143 0.024 0.198
O3 0.365 0.976 0.802
O4 0.685 0.509 0.122
O5 0.315 0.491 0.878
O6 0.071 0.675 0.183
O7 0.635 0.024 0.198
O8 0.929 0.325 0.817
As1 0.000 0.000 0.000
Rb1 0.500 0.500 0.500

Uncorrected energy (eV/atom): -4.67
Density of states at the Fermi level (states/eV/f.u.): 0.0
Formation energy without anion corrections (eV/atom): -0.641
Calculated density (g/cm3): 4.3